No. 1
A plane-wave DFT calculation with GGA-PBE was carried out for CoP2Os after structural relaxation.

## Properties
Total DFT energy (no corrections), eV/cell: -59.2
Crystal system: tetragonal

```
data_CoP2Os
_chemical_formula_sum 'Co2 P4 Os2'
_cell_length_a 6.2520
_cell_length_b 6.2520
_cell_length_c 6.2520
_cell_angle_alpha 131.89
_cell_angle_beta 131.89
_cell_angle_gamma 70.41
_space_group_name_H-M_alt 'P 1'
_space_group_IT_number 1
loop_
_space_group_symop_operation_xyz
'x,y,z'
loop_
_atom_site_label
_atom_site_fract_x
_atom_site_fract_y
_atom_site_fract_z
P1 0.6415 0.6250 0.5165
P2 0.3750 0.8915 0.0165
P3 0.1085 0.1250 0.4835
P4 0.8750 0.3585 0.9835
Co1 0.7500 0.2500 0.5000
Co2 0.0000 0.0000 0.0000
Os1 0.5000 0.5000 0.0000
Os2 0.2500 0.7500 0.5000
```



No. 2
A plane-wave DFT calculation with GGA-PBE was carried out for RbCoP2Os after structural relaxation.

## Properties
Total DFT energy (no corrections), eV/cell: -32.7
Crystal system: tetragonal

```
data_RbCoP2Os
_chemical_formula_sum 'Rb1 Co1 P2 Os1'
_cell_length_a 7.3832
_cell_length_b 7.3832
_cell_length_c 7.3832
_cell_angle_alpha 149.82
_cell_angle_beta 149.82
_cell_angle_gamma 43.20
_space_group_name_H-M_alt 'P 1'
_space_group_IT_number 1
loop_
_space_group_symop_operation_xyz
'x,y,z'
loop_
_atom_site_label
_atom_site_fract_x
_atom_site_fract_y
_atom_site_fract_z
Co1 0.0000 0.0000 0.0000
Rb1 0.7500 0.2500 0.5000
P1 0.4102 0.9102 0.5000
P2 0.0898 0.5898 0.5000
Os1 0.5000 0.5000 0.0000
```



No. 3
A plane-wave DFT calculation with GGA-PBE was carried out for SrCoP2Os after structural relaxation.

## Properties
Total DFT energy (no corrections), eV/cell: -34.7
Crystal system: tetragonal

```
data_SrCoP2Os
_chemical_formula_sum 'Sr1 Co1 P2 Os1'
_cell_length_a 6.5247
_cell_length_b 6.5247
_cell_length_c 6.5247
_cell_angle_alpha 145.47
_cell_angle_beta 145.47
_cell_angle_gamma 49.64
_space_group_name_H-M_alt 'P 1'
_space_group_IT_number 1
loop_
_space_group_symop_operation_xyz
'x,y,z'
loop_
_atom_site_label
_atom_site_fract_x
_atom_site_fract_y
_atom_site_fract_z
Os1 0.2500 0.7500 0.5000
P1 0.6470 0.6470 0.0000
P2 0.3530 0.3530 0.0000
Sr1 0.0000 0.0000 0.0000
Co1 0.7500 0.2500 0.5000
```



No. 4
A plane-wave DFT calculation with GGA-PBE was carried out for PaCoOs after structural relaxation.

## Properties
Crystal system: cubic
Energy relative to the elements, meV per atom: 35

```
data_PaCoOs
_chemical_formula_sum 'Pa1 Co1 Os1'
_cell_length_a 4.2700
_cell_length_b 4.2700
_cell_length_c 4.2700
_cell_angle_alpha 60.00
_cell_angle_beta 60.00
_cell_angle_gamma 60.00
_space_group_name_H-M_alt 'P 1'
_space_group_IT_number 1
loop_
_space_group_symop_operation_xyz
'x,y,z'
loop_
_atom_site_label
_atom_site_fract_x
_atom_site_fract_y
_atom_site_fract_z
Co1 0.0000 0.0000 0.0000
Pa1 0.7500 0.7500 0.7500
Os1 0.2500 0.2500 0.2500
```



No. 5
A plane-wave DFT calculation with GGA-PBE was carried out for PaCoOs after structural relaxation.

## Properties
Crystal system: cubic
Energy relative to the elements, meV per atom: 439

```
data_PaCoOs
_chemical_formula_sum 'Pa1 Co1 Os1'
_cell_length_a 4.3628
_cell_length_b 4.3628
_cell_length_c 4.3628
_cell_angle_alpha 60.00
_cell_angle_beta 60.00
_cell_angle_gamma 60.00
_space_group_name_H-M_alt 'P 1'
_space_group_IT_number 1
loop_
_space_group_symop_operation_xyz
'x,y,z'
loop_
_atom_site_label
_atom_site_fract_x
_atom_site_fract_y
_atom_site_fract_z
Pa1 0.0000 0.0000 0.0000
Os1 0.7500 0.7500 0.7500
Co1 0.2500 0.2500 0.2500
```



No. 6
A plane-wave DFT calculation with GGA-PBE was carried out for CoOsPtPb after structural relaxation.

## Properties
Total DFT energy (no corrections), eV/cell: -25.7
Crystal system: cubic

```
data_CoOsPtPb
_chemical_formula_sum 'Co1 Os1 Pt1 Pb1'
_cell_length_a 4.5032
_cell_length_b 4.5032
_cell_length_c 4.5032
_cell_angle_alpha 60.00
_cell_angle_beta 60.00
_cell_angle_gamma 60.00
_space_group_name_H-M_alt 'P 1'
_space_group_IT_number 1
loop_
_space_group_symop_operation_xyz
'x,y,z'
loop_
_atom_site_label
_atom_site_fract_x
_atom_site_fract_y
_atom_site_fract_z
Os1 0.2500 0.2500 0.2500
Pt1 0.5000 0.5000 0.5000
Co1 0.7500 0.7500 0.7500
Pb1 0.0000 0.0000 0.0000
```